Model i:
DFT (PBE) results for a relaxed ScMn3Si crystal.

Space group: Pm-3m (221)
V in Å³ per cell: 84
Crystal system: cubic
Density of states at the Fermi level in states/eV/f.u.: 7.10

Lattice parameters (Å, degrees): 4.3710 4.3710 4.3710 90.00 90.00 90.00
Site moments in Bohr magnetons follow the coordinates.
Fractional coordinates of all 5 atoms:
1 Sc 0.5000 0.5000 0.5000  -0.44
2 Si 0.0000 0.0000 0.0000  -0.15
3 Mn 0.0000 0.5000 0.0000  2.72
4 Mn 0.0000 0.0000 0.5000  2.64
5 Mn 0.5000 0.0000 0.0000  2.35

---

Model ii:
DFT (PBE) results for a relaxed ScMn3Si crystal.

Space group: Pm-3m (221)
V in Å³ per cell: 97
Crystal system: cubic
Density of states at the Fermi level in states/eV/f.u.: 4.37

Lattice parameters (Å, degrees): 4.5953 4.5953 4.5953 90.00 90.00 90.00
Site moments in Bohr magnetons follow the coordinates.
Fractional coordinates of all 5 atoms:
1 Sc 0.0000 0.0000 0.0000  -0.55
2 Si 0.5000 0.5000 0.5000  -0.06
3 Mn 0.0000 0.5000 0.0000  3.21
4 Mn 0.0000 0.0000 0.5000  2.96
5 Mn 0.5000 0.0000 0.0000  3.58

---

Which of them is least stable? Easy: model ii.

---

Model i:
DFT (PBE) results for a relaxed Sc3MnSi crystal.

Space group: Pm-3m (221)
V in Å³ per cell: 105
Crystal system: cubic
Density of states at the Fermi level in states/eV/f.u.: 4.81

Lattice parameters (Å, degrees): 4.7199 4.7199 4.7199 90.00 90.00 90.00
Fractional coordinates of all 5 atoms:
1 Sc 0.0000 0.5000 0.0000
2 Sc 0.0000 0.0000 0.5000
3 Sc 0.5000 0.0000 0.0000
4 Si 0.5000 0.5000 0.5000
5 Mn 0.0000 0.0000 0.0000

---

Model ii:
DFT (PBE) results for a relaxed Sc3MnSi crystal.

Space group: Pm-3m (221)
V in Å³ per cell: 121
Crystal system: cubic
Density of states at the Fermi level in states/eV/f.u.: 6.40

Lattice parameters (Å, degrees): 4.9493 4.9493 4.9493 90.00 90.00 90.00
Site moments in Bohr magnetons follow the coordinates.
Fractional coordinates of all 5 atoms:
1 Sc 0.0000 0.5000 0.0000  0.01
2 Sc 0.0000 0.0000 0.5000  -0.10
3 Sc 0.5000 0.0000 0.0000  0.10
4 Si 0.0000 0.0000 0.0000  0.04
5 Mn 0.5000 0.5000 0.5000  -0.21

---

Which of them is least stable? Easy: model ii.

---

Model i:
DFT (PBE) results for a relaxed SrScMn2 crystal.

Space group: F-43m (216)
V in Å³ per cell: 91
Crystal system: cubic
Density of states at the Fermi level in states/eV/f.u.: 5.88

Lattice parameters (Å, degrees): 5.0405 5.0405 5.0405 60.00 60.00 60.00
Site moments in Bohr magnetons follow the coordinates.
Fractional coordinates of all 4 atoms:
1 Mn 0.0000 0.0000 0.0000  3.85
2 Mn 0.2500 0.2500 0.2500  3.74
3 Sc 0.5000 0.5000 0.5000  -0.20
4 Sr 0.7500 0.7500 0.7500  -0.03

---

Model ii:
DFT (PBE) results for a relaxed SrScMn2 crystal.

Space group: I-4m2 (119)
V in Å³ per cell: 91
Crystal system: tetragonal
Density of states at the Fermi level in states/eV/f.u.: 4.62

Lattice parameters (Å, degrees): 5.5760 5.5760 5.5760 133.19 133.19 68.36
Site moments in Bohr magnetons follow the coordinates.
Fractional coordinates of all 4 atoms:
1 Mn 0.0000 0.0000 0.0000  3.64
2 Mn 0.2500 0.7500 0.5000  3.54
3 Sc 0.5000 0.5000 0.0000  -0.62
4 Sr 0.7500 0.2500 0.5000  -0.10

---

Model iii:
DFT (PBE) results for a relaxed SrScMn2 crystal.

Space group: Cm (8)
V in Å³ per cell: 92
Crystal system: monoclinic
Density of states at the Fermi level in states/eV/f.u.: 4.75

Lattice parameters (Å, degrees): 5.5779 5.5779 5.5505 75.00 75.00 33.76
Site moments in Bohr magnetons follow the coordinates.
Fractional coordinates of all 4 atoms:
1 Mn 0.0354 0.0354 0.9782  3.48
2 Mn 0.7247 0.7247 0.7249  3.43
3 Sc 0.4707 0.4707 0.5923  -0.52
4 Sr 0.2693 0.2693 0.2046  -0.07

---

Model iv:
DFT (PBE) results for a relaxed SrScMn2 crystal.

Space group: I-42d (122)
V in Å³ per cell: 234
Crystal system: tetragonal
Density of states at the Fermi level in states/eV/f.u.: 5.46

Lattice parameters (Å, degrees): 5.0735 5.0735 9.7887 74.98 74.98 90.00
Site moments in Bohr magnetons follow the coordinates.
Fractional coordinates of all 8 atoms:
1 Sc 0.5000 0.5000 0.0000  -0.53
2 Sc 0.2500 0.7500 0.5000  -0.53
3 Sr 0.0000 0.0000 0.0000  -0.05
4 Sr 0.7500 0.2500 0.5000  -0.05
5 Mn 0.3730 0.1250 0.2500  3.31
6 Mn 0.3770 0.6250 0.2500  3.29
7 Mn 0.3750 0.6270 0.7500  3.32
8 Mn 0.8750 0.6230 0.7500  3.30

---

Which of them is least stable? Easy: model iv.